This record from OQMD describes crystalline GdOsNO at its relaxed geometry. The functional is PBE.

Output
distance to the lowest polymorph of the same formula: 0.000 eV/atom

Cell and atoms, written as CIF:
```
data_GdOsNO
_space_group_name_H-M_alt 'P 1'
_space_group_IT_number 1
_cell_length_a 5.543
_cell_length_b 8.543
_cell_length_c 4.695
_cell_angle_alpha 90.00
_cell_angle_beta 90.00
_cell_angle_gamma 90.00
loop_
_space_group_symop_operation_xyz
'x,y,z'
loop_
_atom_site_label
_atom_site_fract_x
_atom_site_fract_y
_atom_site_fract_z
N1 0.130 0.149 0.751
N2 0.370 0.149 0.251
N3 0.870 0.851 0.251
N4 0.630 0.851 0.751
Gd1 0.979 0.341 0.422
Gd2 0.021 0.659 0.922
Gd3 0.521 0.341 0.922
Gd4 0.479 0.659 0.422
O1 0.596 0.411 0.438
O2 0.096 0.589 0.438
O3 0.404 0.589 0.938
O4 0.904 0.411 0.938
Os1 0.391 0.011 0.592
Os2 0.609 0.989 0.092
Os3 0.109 0.011 0.092
Os4 0.891 0.989 0.592
```